VASP calculation (PBE) on a geometry-optimized Ta2PdS structure.

Lattice parameters (Å, degrees): 5.658 5.658 5.658 105.19 105.19 118.43
Element x y z (fractional)
Ta  0.093  0.625  0.968
Ta  0.375  0.343  0.468
Ta  0.657  0.125  0.032
Ta  0.875  0.907  0.532
Pd  0.250  0.750  0.500
Pd  0.500  0.500  0.000
S  0.000  0.000  0.000
S  0.750  0.250  0.500

Summary:
For the total magnetic moment, the calculation gives 0.00 μB per atom. The calculation puts the density of states at the Fermi level at 1.42 states/eV/f.u. As for the formation energy (no corrections): -81 meV/atom. Its symmetry is I-42d, No. 122.

VASP calculation (PBE) on a geometry-optimized Pm3TlS structure.

Lattice parameters (Å, degrees): 9.220 4.067 15.373 90.00 90.00 90.00
Element x y z (fractional)
Pm  0.026  0.250  0.109
Pm  0.164  0.250  0.514
Pm  0.200  0.750  0.287
Pm  0.300  0.250  0.787
Pm  0.336  0.750  0.014
Pm  0.474  0.750  0.609
Pm  0.526  0.250  0.391
Pm  0.664  0.250  0.986
Pm  0.700  0.750  0.213
Pm  0.800  0.250  0.713
Pm  0.836  0.750  0.486
Pm  0.974  0.750  0.891
Tl  0.079  0.750  0.676
Tl  0.421  0.250  0.176
Tl  0.579  0.750  0.824
Tl  0.921  0.250  0.324
S  0.163  0.250  0.946
S  0.337  0.750  0.446
S  0.663  0.250  0.554
S  0.837  0.750  0.054

Summary:
For the total magnetic moment, the calculation gives 0.11 μB per atom. The calculation puts the density of states at the Fermi level at 4.28 states/eV/f.u. As for the formation energy (no corrections): -982 meV/atom. Its symmetry is Pnma, No. 62. For the energy above the most stable polymorph in this dataset, the calculation gives 0 meV per atom.

VASP calculation (PBE) on a geometry-optimized TaInP2 structure.

Lattice parameters (Å, degrees): 4.880 4.880 3.086 100.62 100.62 89.36
Element x y z (fractional)
Ta  0.000  0.000  0.000
In  0.500  0.500  0.000
P  0.000  0.500  0.500
P  0.500  0.000  0.500

Summary:
For the total magnetic moment, the calculation gives 0.00 μB per atom. The calculation puts the density of states at the Fermi level at 2.22 states/eV/f.u. The value obtained for the formation enthalpy at 0 K is 0.250 eV/atom. Its symmetry is C2/m, No. 12.

VASP calculation (PBE) on a geometry-optimized ScTi2V2 structure.

Lattice parameters (Å, degrees): 6.901 6.901 6.901 148.84 148.84 44.65
Element x y z (fractional)
Sc  0.000  0.000  0.000
Ti  0.396  0.396  0.000
Ti  0.604  0.604  0.000
V  0.250  0.750  0.500
V  0.750  0.250  0.500

Summary:
For the total magnetic moment, the calculation gives 0.00 μB per atom. The calculation puts the density of states at the Fermi level at 5.35 states/eV/f.u. The value obtained for the formation enthalpy at 0 K is 0.360 eV/atom. Its symmetry is I4/mmm, No. 139. For the energy above the most stable polymorph in this dataset, the calculation gives 197 meV per atom.

VASP calculation (PBE) on a geometry-optimized CeSm5Pb5 structure.

Lattice parameters (Å, degrees): 7.892 7.892 8.852 106.24 106.24 47.63
Element x y z (fractional)
Ce  0.000  0.000  0.000
Sm  0.000  0.000  0.500
Sm  0.332  0.332  0.166
Sm  0.332  0.332  0.666
Sm  0.668  0.668  0.334
Sm  0.668  0.668  0.834
Pb  0.164  0.164  0.334
Pb  0.164  0.164  0.830
Pb  0.500  0.500  0.000
Pb  0.836  0.836  0.170
Pb  0.836  0.836  0.666

Summary:
For the total magnetic moment, the calculation gives 0.12 μB per atom. The calculation puts the density of states at the Fermi level at 13.20 states/eV/f.u. The value obtained for the formation enthalpy at 0 K is -0.293 eV/atom. Its symmetry is C2/m, No. 12.

VASP calculation (PBE) on a geometry-optimized La3Pr2Sm5 structure.

Lattice parameters (Å, degrees): 10.253 10.253 9.246 108.57 108.57 115.15
Element x y z (fractional)
La  0.021  0.271  0.045
La  0.225  0.775  0.750
La  0.271  0.021  0.545
La  0.729  0.979  0.455
La  0.775  0.225  0.250
La  0.979  0.729  0.955
Pr  0.235  0.478  0.465
Pr  0.478  0.235  0.965
Pr  0.522  0.765  0.035
Pr  0.765  0.522  0.535
Sm  0.027  0.973  0.750
Sm  0.134  0.371  0.756
Sm  0.277  0.723  0.250
Sm  0.371  0.134  0.256
Sm  0.469  0.531  0.250
Sm  0.531  0.469  0.750
Sm  0.629  0.866  0.744
Sm  0.723  0.277  0.750
Sm  0.866  0.629  0.244
Sm  0.973  0.027  0.250

Summary:
For the total magnetic moment, the calculation gives 0.00 μB per atom. The calculation puts the density of states at the Fermi level at 15.27 states/eV/f.u. The value obtained for the formation enthalpy at 0 K is 0.160 eV/atom. Its symmetry is C2/c, No. 15.